# 1
DFT (PBE-GGA) results for crystalline Hf2Zr2Tl3 at its relaxed geometry.

## Properties
- Total moment: 0.00 μB/atom
- Calculated total energy: -6.34 eV per atom

Structure (CIF):
```
data_Hf2Zr2Tl3
_cell_length_a 3.1887
_cell_length_b 3.1887
_cell_length_c 31.5713
_cell_angle_alpha 90.00
_cell_angle_beta 90.00
_cell_angle_gamma 90.00
_space_group_name_H-M_alt 'I 4/m m m'
_space_group_IT_number 139
_space_group_name_Hall '-I 4 2'
loop_
_atom_site_label
_atom_site_type_symbol
_atom_site_fract_x
_atom_site_fract_y
_atom_site_fract_z
Hf1 Hf 0.0000 0.0000 0.2167
Zr1 Zr 0.0000 0.0000 0.0696
Tl1 Tl 0.0000 0.0000 0.3585
Tl2 Tl 0.0000 0.0000 0.5000
```

# 2
DFT (PBE-GGA) results for crystalline HfZr4Tl at its relaxed geometry.

## Properties
- Total moment: 0.00 μB/atom
- Offset from the most stable computed form: 0 meV per atom
- Calculated total energy: -7.76 eV per atom

Structure (CIF):
```
data_HfZr4Tl
_cell_length_a 10.7198
_cell_length_b 3.2634
_cell_length_c 8.7585
_cell_angle_alpha 90.00
_cell_angle_beta 115.02
_cell_angle_gamma 90.00
_space_group_name_H-M_alt 'C 1 2/m 1'
_space_group_IT_number 12
_space_group_name_Hall '-C 2y'
loop_
_atom_site_label
_atom_site_type_symbol
_atom_site_fract_x
_atom_site_fract_y
_atom_site_fract_z
Hf1 Hf 0.0000 0.0000 0.0000
Zr1 Zr 0.1612 0.5000 0.3352
Zr2 Zr 0.1715 0.5000 0.8353
Tl1 Tl 0.0000 0.0000 0.5000
```

# 3
DFT (PBE-GGA) results for crystalline Hf2Zr4Tl at its relaxed geometry.

## Properties
- Total moment: 0.00 μB/atom
- Offset from the most stable computed form: 0 meV per atom
- Calculated total energy: -8.01 eV per atom

Structure (CIF):
```
data_Hf2Zr4Tl
_cell_length_a 15.4562
_cell_length_b 3.1342
_cell_length_c 7.8208
_cell_angle_alpha 90.00
_cell_angle_beta 118.89
_cell_angle_gamma 90.00
_space_group_name_H-M_alt 'C 1 2/m 1'
_space_group_IT_number 12
_space_group_name_Hall '-C 2y'
loop_
_atom_site_label
_atom_site_type_symbol
_atom_site_fract_x
_atom_site_fract_y
_atom_site_fract_z
Hf1 Hf 0.2240 0.0000 0.1386
Zr1 Zr 0.0811 0.0000 0.6944
Zr2 Zr 0.1468 0.5000 0.4159
Tl1 Tl 0.0000 0.0000 0.0000
```

# 4
DFT (PBE-GGA) results for crystalline HfZr2Tl3 at its relaxed geometry.

## Properties
- Total moment: 0.00 μB/atom
- Calculated total energy: -5.70 eV per atom

Structure (CIF):
```
data_HfZr2Tl3
_cell_length_a 3.2068
_cell_length_b 3.2068
_cell_length_c 13.2511
_cell_angle_alpha 90.00
_cell_angle_beta 90.00
_cell_angle_gamma 90.00
_space_group_name_H-M_alt 'P 4/m m m'
_space_group_IT_number 123
_space_group_name_Hall '-P 4 2'
loop_
_atom_site_label
_atom_site_type_symbol
_atom_site_fract_x
_atom_site_fract_y
_atom_site_fract_z
Hf1 Hf 0.0000 0.0000 0.0000
Zr1 Zr 0.0000 0.0000 0.3328
Tl1 Tl 0.5000 0.5000 0.1654
Tl2 Tl 0.5000 0.5000 0.5000
```

# 5
DFT (PBE-GGA) results for crystalline HfZr2Tl at its relaxed geometry.

## Properties
- Total moment: 0.00 μB/atom
- Offset from the most stable computed form: 60 meV per atom
- Calculated total energy: -7.36 eV per atom

Structure (CIF):
```
data_HfZr2Tl
_cell_length_a 3.2712
_cell_length_b 3.2712
_cell_length_c 30.5186
_cell_angle_alpha 90.00
_cell_angle_beta 90.00
_cell_angle_gamma 120.00
_space_group_name_H-M_alt 'R -3 m'
_space_group_IT_number 166
_space_group_name_Hall '-R 3 2"'
loop_
_atom_site_label
_atom_site_type_symbol
_atom_site_fract_x
_atom_site_fract_y
_atom_site_fract_z
Hf1 Hf 0.0000 0.0000 0.0000
Zr1 Zr 0.0000 0.0000 0.2516
Tl1 Tl 0.0000 0.0000 0.5000
```

# 6
DFT (PBE-GGA) results for crystalline Hf3ZrTl at its relaxed geometry.

## Properties
- Total moment: 0.00 μB/atom
- Offset from the most stable computed form: 1164 meV per atom
- Calculated total energy: -6.96 eV per atom

Structure (CIF):
```
data_Hf3ZrTl
_cell_length_a 5.1637
_cell_length_b 5.1637
_cell_length_c 5.1637
_cell_angle_alpha 90.00
_cell_angle_beta 90.00
_cell_angle_gamma 90.00
_space_group_name_H-M_alt 'P m -3 m'
_space_group_IT_number 221
_space_group_name_Hall '-P 4 2 3'
loop_
_atom_site_label
_atom_site_type_symbol
_atom_site_fract_x
_atom_site_fract_y
_atom_site_fract_z
Hf1 Hf 0.0000 0.0000 0.5000
Zr1 Zr 0.0000 0.0000 0.0000
Tl1 Tl 0.5000 0.5000 0.5000
```

# 7
DFT (PBE-GGA) results for crystalline HfZrTl at its relaxed geometry.

## Properties
- Total moment: 0.00 μB/atom
- Offset from the most stable computed form: 19 meV per atom
- Calculated total energy: -6.97 eV per atom

Structure (CIF):
```
data_HfZrTl
_cell_length_a 3.5934
_cell_length_b 3.5934
_cell_length_c 10.6521
_cell_angle_alpha 90.00
_cell_angle_beta 90.00
_cell_angle_gamma 90.00
_space_group_name_H-M_alt 'I 4 m m'
_space_group_IT_number 107
_space_group_name_Hall 'I 4 -2'
loop_
_atom_site_label
_atom_site_type_symbol
_atom_site_fract_x
_atom_site_fract_y
_atom_site_fract_z
Hf1 Hf 0.0000 0.0000 0.0000
Zr1 Zr 0.0000 0.0000 0.6659
Tl1 Tl 0.0000 0.0000 0.3348
```

# 8
DFT (PBE-GGA) results for crystalline Hf2Zr3Tl at its relaxed geometry.

## Properties
- Total moment: 0.00 μB/atom
- Offset from the most stable computed form: 0 meV per atom
- Calculated total energy: -8.00 eV per atom

Structure (CIF):
```
data_Hf2Zr3Tl
_cell_length_a 3.1826
_cell_length_b 3.1826
_cell_length_c 13.7583
_cell_angle_alpha 90.00
_cell_angle_beta 90.00
_cell_angle_gamma 90.00
_space_group_name_H-M_alt 'P 4/m m m'
_space_group_IT_number 123
_space_group_name_Hall '-P 4 2'
loop_
_atom_site_label
_atom_site_type_symbol
_atom_site_fract_x
_atom_site_fract_y
_atom_site_fract_z
Hf1 Hf 0.0000 0.0000 0.1638
Zr1 Zr 0.5000 0.5000 0.0000
Zr2 Zr 0.5000 0.5000 0.3227
Tl1 Tl 0.0000 0.0000 0.5000
```

# 9
DFT (PBE-GGA) results for crystalline Hf2Zr3Tl at its relaxed geometry.

## Properties
- Total moment: 0.00 μB/atom
- Offset from the most stable computed form: 119 meV per atom
- Calculated total energy: -7.88 eV per atom

Structure (CIF):
```
data_Hf2Zr3Tl
_cell_length_a 6.2079
_cell_length_b 5.9260
_cell_length_c 7.7335
_cell_angle_alpha 90.00
_cell_angle_beta 100.83
_cell_angle_gamma 90.00
_space_group_name_H-M_alt 'P 1 21/m 1'
_space_group_IT_number 11
_space_group_name_Hall '-P 2yb'
loop_
_atom_site_label
_atom_site_type_symbol
_atom_site_fract_x
_atom_site_fract_y
_atom_site_fract_z
Hf1 Hf 0.2416 0.0004 0.4935
Zr1 Zr 0.0039 0.2500 0.1841
Zr2 Zr 0.1266 0.2500 0.8153
Zr3 Zr 0.3435 0.7500 0.1637
Tl1 Tl 0.4928 0.2500 0.1869
```

# 10
DFT (PBE-GGA) results for crystalline HfZrTl2 at its relaxed geometry.

## Properties
- Total moment: 0.00 μB/atom
- Offset from the most stable computed form: 273 meV per atom
- Calculated total energy: -5.51 eV per atom

Structure (CIF):
```
data_HfZrTl2
_cell_length_a 7.9343
_cell_length_b 7.9343
_cell_length_c 6.1873
_cell_angle_alpha 90.00
_cell_angle_beta 90.00
_cell_angle_gamma 90.00
_space_group_name_H-M_alt 'I -4 2 d'
_space_group_IT_number 122
_space_group_name_Hall 'I -4 2bw'
loop_
_atom_site_label
_atom_site_type_symbol
_atom_site_fract_x
_atom_site_fract_y
_atom_site_fract_z
Hf1 Hf 0.0000 0.0000 0.0000
Zr1 Zr 0.0000 0.0000 0.5000
Tl1 Tl 0.2473 0.2500 0.1250
```

# 11
DFT (PBE-GGA) results for crystalline Hf2Zr5Tl at its relaxed geometry.

## Properties
- Total moment: 0.03 μB/atom
- Calculated total energy: -8.07 eV per atom

Structure (CIF):
```
data_Hf2Zr5Tl
_cell_length_a 7.6881
_cell_length_b 7.6881
_cell_length_c 12.5087
_cell_angle_alpha 90.00
_cell_angle_beta 90.00
_cell_angle_gamma 90.00
_space_group_name_H-M_alt 'I 4/m c m'
_space_group_IT_number 140
_space_group_name_Hall '-I 4 2c'
loop_
_atom_site_label
_atom_site_type_symbol
_atom_site_fract_x
_atom_site_fract_y
_atom_site_fract_z
Hf1 Hf 0.1441 0.3559 0.0000
Zr1 Zr 0.0000 0.0000 0.0000
Zr2 Zr 0.1501 0.3499 0.3376
Tl1 Tl 0.0000 0.0000 0.2500
```

# 12
DFT (PBE-GGA) results for crystalline HfZr5Tl3 at its relaxed geometry.

## Properties
- Total moment: 0.00 μB/atom
- Offset from the most stable computed form: 0 meV per atom
- Calculated total energy: -6.70 eV per atom

Structure (CIF):
```
data_HfZr5Tl3
_cell_length_a 8.8275
_cell_length_b 8.8275
_cell_length_c 6.0550
_cell_angle_alpha 90.00
_cell_angle_beta 90.00
_cell_angle_gamma 120.00
_space_group_name_H-M_alt 'P 63/m c m'
_space_group_IT_number 193
_space_group_name_Hall '-P 6c 2'
loop_
_atom_site_label
_atom_site_type_symbol
_atom_site_fract_x
_atom_site_fract_y
_atom_site_fract_z
Hf1 Hf 0.0000 0.0000 0.0000
Zr1 Zr 0.0000 0.3304 0.2500
Zr2 Zr 0.3333 0.6667 0.0000
Tl1 Tl 0.0000 0.3360 0.7500
```